Density functional theory data (PBE) for a geometry-optimized YAg3Pd structure.

Results
* energy relative to the elements: 0.33 eV/atom
* SG: No. 221

Geometry as extended XYZ:
```
5
Lattice="5.0147 0.0000 0.0000 0.0000 5.0147 0.0000 0.0000 0.0000 5.0147" Properties=species:S:1:pos:R:3 pbc="T T T"
Ag 2.5073 0.0000 0.0000
Ag 0.0000 2.5073 0.0000
Ag 0.0000 0.0000 2.5073
Y 2.5073 2.5073 2.5073
Pd 0.0000 0.0000 0.0000
```